{"formula": "Nd3Zn", "functional": "PBE", "state": "relaxed", "lattice": [[3.814, 0.000, 0.000], [0.000, 5.447, 0.000], [-1.907, -2.723, 5.827]], "species": ["Nd", "Nd", "Nd", "Zn"], "fractional_positions": [[0.712, 0.128, 0.424], [0.288, 0.704, 0.576], [0.500, 0.417, 0.000], [0.000, 0.918, 0.000]], "final_energy_ev_per_cell": -16.1, "formation_enthalpy_0k_ev_per_atom": -0.12}


{"formula": "SrPr4Ga4", "functional": "PBE", "state": "relaxed", "lattice": [[-5.822, 1.358, 1.694], [-1.851, -9.374, 1.153], [2.808, 0.576, 9.188]], "species": ["Sr", "Ga", "Pr", "Ga", "Pr", "Pr", "Pr", "Ga", "Ga", "Pr", "Ga", "Ga", "Pr", "Pr", "Sr", "Ga", "Ga", "Pr"], "fractional_positions": [[0.000, 0.000, 0.000], [0.630, 0.220, 0.647], [0.373, 0.670, 0.095], [0.630, 0.780, 0.353], [0.873, 0.595, 0.830], [0.873, 0.405, 0.170], [0.627, 0.095, 0.330], [0.130, 0.147, 0.280], [0.130, 0.853, 0.720], [0.627, 0.905, 0.670], [0.870, 0.720, 0.147], [0.870, 0.280, 0.853], [0.127, 0.830, 0.405], [0.127, 0.170, 0.595], [0.500, 0.500, 0.500], [0.370, 0.353, 0.220], [0.370, 0.647, 0.780], [0.373, 0.330, 0.905]], "final_energy_ev_per_cell": -71.7, "formation_enthalpy_0k_ev_per_atom": -0.33}


{"formula": "RbO2F2", "functional": "PBE", "state": "relaxed", "lattice": [[-2.665, 0.460, -3.873], [-3.674, -1.873, 2.305], [-0.897, 2.951, 0.968]], "species": ["O", "F", "O", "F", "Rb"], "fractional_positions": [[0.000, 0.000, 0.500], [0.500, 0.000, 0.000], [0.000, 0.000, 0.000], [0.000, 0.500, 0.000], [0.500, 0.500, 0.500]], "final_energy_ev_per_cell": -16.6, "e_above_lowest_polymorph_mev_per_atom": 738}


{"formula": "K2TaSi", "functional": "PBE", "state": "relaxed", "lattice": [[3.594, 0.000, 0.000], [0.000, 3.595, 0.000], [0.000, 0.000, 10.545]], "species": ["K", "Ta", "Si", "K"], "fractional_positions": [[0.000, 0.000, 0.927], [0.500, 0.500, 0.638], [0.000, 0.000, 0.619], [0.500, 0.500, 0.316]], "final_energy_ev_per_cell": -18.0}


Number 1: DOS(E_F) 4.1 states/eV/f.u.. Number 2: DOS(E_F) 8.7 states/eV/f.u.. Number 3: DOS(E_F) 2.3 states/eV/f.u.. Number 4: DOS(E_F) 2.1 states/eV/f.u..